First-principles (PBE) data for crystalline PaAlCN at its relaxed geometry, as listed in Alexandria.

Calculated values
- SG = P6_3mc
- volume (Å³/atom) = 14.25
- E_tot (eV per atom) = -8.4381

Lattice parameters (Å, degrees): 3.5364 3.5364 10.5264 90.00 90.00 120.00
Each line ends with the local moment (μB).
Atoms (fractional coordinates):
1 N 0.0000 0.0000 0.1599  0.00
2 C 0.6667 0.3333 0.4109  0.01
3 Pa 0.3333 0.6667 0.2598  0.30
4 Pa 0.6667 0.3333 0.7598  0.30
5 N 0.0000 0.0000 0.6599  0.00
6 Al 0.0000 0.0000 0.4817  0.00
7 Al 0.0000 0.0000 0.9817  0.00
8 C 0.3333 0.6667 0.9109  0.01